No. 1
This record from Alexandria describes a geometry-optimized YReP2Cl structure. The functional is PBE-GGA.

a = 5.354 Å, b = 5.354 Å, c = 5.009 Å
α = 90.00°, β = 90.00°, γ = 90.00°
Atoms (fractional coordinates):
1 Y 0.000 0.000 0.000
2 Re 0.500 0.500 0.500
3 P 0.000 0.500 0.000
4 P 0.500 0.000 0.000
5 Cl 0.000 0.000 0.500

Computed properties:
The symmetry is P4/mmm (123). As for the magnetization: 0.78 μB per atom. The calculation puts the polymorph energy (0 for the lowest one) at 1118 meV/atom. The total energy comes out at -5.28 eV/atom. The formation energy (no corrections) comes out at 1.0349 eV/atom.


No. 2
This record from Alexandria describes a geometry-optimized Nd6Sm8Dy structure. The functional is PBE-GGA.

a = 8.814 Å, b = 8.814 Å, c = 8.814 Å
α = 63.33°, β = 63.33°, γ = 63.33°
Atoms (fractional coordinates):
1 Nd 0.039 0.736 0.600
2 Nd 0.264 0.400 0.961
3 Nd 0.400 0.961 0.264
4 Nd 0.600 0.039 0.736
5 Nd 0.736 0.600 0.039
6 Nd 0.961 0.264 0.400
7 Sm 0.077 0.077 0.077
8 Sm 0.218 0.250 0.613
9 Sm 0.250 0.613 0.218
10 Sm 0.387 0.782 0.750
11 Sm 0.613 0.218 0.250
12 Sm 0.750 0.387 0.782
13 Sm 0.782 0.750 0.387
14 Sm 0.923 0.923 0.923
15 Dy 0.500 0.500 0.500

Computed properties:
The symmetry is R-3 (148). As for the magnetization: 0.00 μB per atom. The calculation puts the polymorph energy (0 for the lowest one) at 0 meV/atom. The total energy comes out at -4.62 eV/atom. Its formation energy is 0.113 eV per atom.